(1)
# Hf6GaPb | Alexandria via LeMat-Bulk | GGA-PBE | optimized geometry
# - E_form: 0.300 eV per atom
# - Density: 12.10 g cm⁻³
# - V: 23.1 Å³ per atom
# - DOS(E_F): 15.91 states/eV/cell
data_Hf6GaPb
_symmetry_space_group_name_H-M 'C 1 2/m 1'
_symmetry_Int_Tables_number 12
_symmetry_space_group_name_Hall '-C 2y'
_cell_length_a 6.228
_cell_length_b 11.120
_cell_length_c 6.061
_cell_angle_alpha 90.00
_cell_angle_beta 118.20
_cell_angle_gamma 90.00
loop_
_atom_site_label
_atom_site_type_symbol
_atom_site_fract_x
_atom_site_fract_y
_atom_site_fract_z
_atom_site_occupancy
Hf1 Hf 0.007 0.227 0.261 1
Hf2 Hf 0.018 0.500 0.261 1
Ga1 Ga 0.000 0.000 0.500 1
Pb1 Pb 0.000 0.000 0.000 1


(2)
# TbPm4Y | Alexandria via LeMat-Bulk | GGA-PBE | optimized geometry
# - E_form: 0.107 eV per atom
# - Density: 6.80 g cm⁻³
# - V: 33.7 Å³ per atom
# - Excess energy over the best structure of this formula in the dataset: 0.0 meV/atom
# - DOS(E_F): 23.80 states/eV/cell
data_TbPm4Y
_symmetry_space_group_name_H-M 'C 1 2/m 1'
_symmetry_Int_Tables_number 12
_symmetry_space_group_name_Hall '-C 2y'
_cell_length_a 11.166
_cell_length_b 6.011
_cell_length_c 6.027
_cell_angle_alpha 90.00
_cell_angle_beta 90.20
_cell_angle_gamma 90.00
loop_
_atom_site_label
_atom_site_type_symbol
_atom_site_fract_x
_atom_site_fract_y
_atom_site_fract_z
_atom_site_occupancy
Tb1 Tb 0.000 0.000 0.000 1
Pm1 Pm 0.163 0.000 0.484 1
Pm2 Pm 0.163 0.500 0.017 1
Y1 Y 0.000 0.500 0.500 1


(3)
# AcBe2AlPt4 | Alexandria via LeMat-Bulk | GGA-PBE | optimized geometry
# - E_form: -0.831 eV per atom
# - Density: 12.95 g cm⁻³
# - V: 16.9 Å³ per atom
# - DOS(E_F): 10.84 states/eV/cell
data_AcBe2AlPt4
_symmetry_space_group_name_H-M 'R -3 m'
_symmetry_Int_Tables_number 166
_symmetry_space_group_name_Hall '-R 3 2"'
_cell_length_a 4.1465
_cell_length_b 4.1465
_cell_length_c 27.1899
_cell_angle_alpha 90.00
_cell_angle_beta 90.00
_cell_angle_gamma 120.00
loop_
_atom_site_label
_atom_site_type_symbol
_atom_site_fract_x
_atom_site_fract_y
_atom_site_fract_z
_atom_site_occupancy
Ac1 Ac 0.0000 0.0000 0.0000 1
Be1 Be 0.0000 0.0000 0.2336 1
Al1 Al 0.0000 0.0000 0.5000 1
Pt1 Pt 0.0000 0.0000 0.1341 1
Pt2 Pt 0.0000 0.0000 0.4085 1


(4)
# Pu3Ge3Mo2 | Alexandria via LeMat-Bulk | GGA-PBE | optimized geometry
# - E_form: -0.251 eV per atom
# - Density: 11.51 g cm⁻³
# - V: 20.6 Å³ per atom
# - DOS(E_F): 34.96 states/eV/cell
data_Pu3Ge3Mo2
_symmetry_space_group_name_H-M 'I m m m'
_symmetry_Int_Tables_number 71
_symmetry_space_group_name_Hall '-I 2 2'
_cell_length_a 3.510
_cell_length_b 4.579
_cell_length_c 20.494
_cell_angle_alpha 90.00
_cell_angle_beta 90.00
_cell_angle_gamma 90.00
loop_
_atom_site_label
_atom_site_type_symbol
_atom_site_fract_x
_atom_site_fract_y
_atom_site_fract_z
_atom_site_occupancy
Pu1 Pu 0.000 0.000 0.000 1
Pu2 Pu 0.000 0.500 0.120 1
Ge1 Ge 0.000 0.000 0.500 1
Ge2 Ge 0.000 0.500 0.336 1
Mo1 Mo 0.000 0.000 0.259 1


(5)
# CrPd5Au | Alexandria via LeMat-Bulk | GGA-PBE | optimized geometry
# - E_form: 0.076 eV per atom
# - Density: 11.32 g cm⁻³
# - V: 16.4 Å³ per atom
# - Excess energy over the best structure of this formula in the dataset: 0.0 meV/atom
# - DOS(E_F): 5.36 states/eV/cell
data_CrPd5Au
_symmetry_space_group_name_H-M 'P 4/m m m'
_symmetry_Int_Tables_number 123
_symmetry_space_group_name_Hall '-P 4 2'
_cell_length_a 3.994
_cell_length_b 3.994
_cell_length_c 7.182
_cell_angle_alpha 90.00
_cell_angle_beta 90.00
_cell_angle_gamma 90.00
loop_
_atom_site_label
_atom_site_type_symbol
_atom_site_fract_x
_atom_site_fract_y
_atom_site_fract_z
_atom_site_occupancy
Cr1 Cr 0.000 0.000 0.000 1
Pd1 Pd 0.000 0.000 0.500 1
Pd2 Pd 0.000 0.500 0.214 1
Au1 Au 0.500 0.500 0.500 1


(6)
# Cu2BMoBr | Alexandria via LeMat-Bulk | GGA-PBE | optimized geometry
# - Density: 4.67 g cm⁻³
# - V: 22.3 Å³ per atom
# - ΔE_f (raw): 1898 meV per atom
# - DOS(E_F): 4.99 states/eV/cell
data_Cu2BMoBr
_symmetry_space_group_name_H-M 'P 4/m m m'
_symmetry_Int_Tables_number 123
_symmetry_space_group_name_Hall '-P 4 2'
_cell_length_a 4.853
_cell_length_b 4.853
_cell_length_c 4.736
_cell_angle_alpha 90.00
_cell_angle_beta 90.00
_cell_angle_gamma 90.00
loop_
_atom_site_label
_atom_site_type_symbol
_atom_site_fract_x
_atom_site_fract_y
_atom_site_fract_z
_atom_site_occupancy
Cu1 Cu 0.000 0.500 0.000 1
B1 B 0.000 0.000 0.500 1
Mo1 Mo 0.500 0.500 0.000 1
Br1 Br 0.500 0.500 0.500 1


(7)
# Ba6P2IrBr3 | Alexandria via LeMat-Bulk | GGA-PBE | optimized geometry
# - Density: 4.86 g cm⁻³
# - V: 37.5 Å³ per atom
# - ΔE_f (raw): -1358 meV per atom
data_Ba6P2IrBr3
_symmetry_space_group_name_H-M 'C 1 2/m 1'
_symmetry_Int_Tables_number 12
_symmetry_space_group_name_Hall '-C 2y'
_cell_length_a 8.043
_cell_length_b 13.933
_cell_length_c 8.467
_cell_angle_alpha 90.00
_cell_angle_beta 108.46
_cell_angle_gamma 90.00
loop_
_atom_site_label
_atom_site_type_symbol
_atom_site_fract_x
_atom_site_fract_y
_atom_site_fract_z
_atom_site_occupancy
Ba1 Ba 0.232 0.162 0.209 1
Ba2 Ba 0.246 0.500 0.209 1
P1 P 0.000 0.333 0.000 1
Ir1 Ir 0.000 0.000 0.000 1
Br1 Br 0.000 0.167 0.500 1
Br2 Br 0.000 0.500 0.500 1


(8)
# Pm2Nd2CuRh4 | Alexandria via LeMat-Bulk | GGA-PBE | optimized geometry
# - E_form: -0.329 eV per atom
# - Density: 8.86 g cm⁻³
# - V: 21.9 Å³ per atom
# - DOS(E_F): 10.20 states/eV/cell
data_Pm2Nd2CuRh4
_symmetry_space_group_name_H-M 'I 4/m m m'
_symmetry_Int_Tables_number 139
_symmetry_space_group_name_Hall '-I 4 2'
_cell_length_a 6.884
_cell_length_b 6.884
_cell_length_c 8.333
_cell_angle_alpha 90.00
_cell_angle_beta 90.00
_cell_angle_gamma 90.00
loop_
_atom_site_label
_atom_site_type_symbol
_atom_site_fract_x
_atom_site_fract_y
_atom_site_fract_z
_atom_site_occupancy
Pm1 Pm 0.000 0.500 0.250 1
Nd1 Nd 0.000 0.000 0.195 1
Cu1 Cu 0.000 0.000 0.500 1
Rh1 Rh 0.241 0.241 0.000 1


(9)
# Ir2Br4Cl3 | Alexandria via LeMat-Bulk | GGA-PBE | optimized geometry
# - Density: 5.48 g cm⁻³
# - V: 27.3 Å³ per atom
# - ΔE_f (raw): -270 meV per atom
# - DOS(E_F): 43.95 states/eV/cell
data_Ir2Br4Cl3
_symmetry_space_group_name_H-M 'C 1 2/c 1'
_symmetry_Int_Tables_number 15
_symmetry_space_group_name_Hall '-C 2yc'
_cell_length_a 13.117
_cell_length_b 12.346
_cell_length_c 6.747
_cell_angle_alpha 90.00
_cell_angle_beta 115.91
_cell_angle_gamma 90.00
loop_
_atom_site_label
_atom_site_type_symbol
_atom_site_fract_x
_atom_site_fract_y
_atom_site_fract_z
_atom_site_occupancy
Ir1 Ir 0.175 0.121 0.362 1
Br1 Br 0.133 0.293 0.515 1
Br2 Br 0.246 0.458 0.249 1
Cl1 Cl 0.000 0.032 0.250 1
Cl2 Cl 0.117 0.203 0.024 1


(10)
# MnCo2Os | Alexandria via LeMat-Bulk | GGA-PBE | optimized geometry
# - E_form: 0.075 eV per atom
# - Density: 12.92 g cm⁻³
# - V: 11.7 Å³ per atom
# - Excess energy over the best structure of this formula in the dataset: 15.5 meV/atom
# - DOS(E_F): 11.54 states/eV/cell
data_MnCo2Os
_symmetry_space_group_name_H-M 'I -4 m 2'
_symmetry_Int_Tables_number 119
_symmetry_space_group_name_Hall 'I -4 -2'
_cell_length_a 3.596
_cell_length_b 3.596
_cell_length_c 7.216
_cell_angle_alpha 90.00
_cell_angle_beta 90.00
_cell_angle_gamma 90.00
loop_
_atom_site_label
_atom_site_type_symbol
_atom_site_fract_x
_atom_site_fract_y
_atom_site_fract_z
_atom_site_occupancy
Mn1 Mn 0.000 0.000 0.000 1
Co1 Co 0.000 0.000 0.500 1
Co2 Co 0.000 0.500 0.250 1
Os1 Os 0.000 0.500 0.750 1


(11)
# SrTcNi2 | Alexandria via LeMat-Bulk | GGA-PBE | optimized geometry
# - E_form: 0.483 eV per atom
# - Density: 7.42 g cm⁻³
# - V: 16.9 Å³ per atom
# - Excess energy over the best structure of this formula in the dataset: 354.6 meV/atom
# - DOS(E_F): 4.56 states/eV/cell
data_SrTcNi2
_symmetry_space_group_name_H-M 'P 4 m m'
_symmetry_Int_Tables_number 99
_symmetry_space_group_name_Hall 'P 4 -2'
_cell_length_a 3.051
_cell_length_b 3.051
_cell_length_c 7.278
_cell_angle_alpha 90.00
_cell_angle_beta 90.00
_cell_angle_gamma 90.00
loop_
_atom_site_label
_atom_site_type_symbol
_atom_site_fract_x
_atom_site_fract_y
_atom_site_fract_z
_atom_site_occupancy
Sr1 Sr 0.000 0.000 0.000 1
Tc1 Tc 0.500 0.500 0.344 1
Ni1 Ni 0.000 0.000 0.523 1
Ni2 Ni 0.500 0.500 0.691 1


(12)
# La2Pr3SmSe6 | Alexandria via LeMat-Bulk | GGA-PBE | optimized geometry
# - Density: 6.68 g cm⁻³
# - V: 27.4 Å³ per atom
# - ΔE_f (raw): -1897 meV per atom
# - DOS(E_F): 12.29 states/eV/cell
data_La2Pr3SmSe6
_symmetry_space_group_name_H-M 'C 1 2/m 1'
_symmetry_Int_Tables_number 12
_symmetry_space_group_name_Hall '-C 2y'
_cell_length_a 7.380
_cell_length_b 12.828
_cell_length_c 7.383
_cell_angle_alpha 90.00
_cell_angle_beta 109.57
_cell_angle_gamma 90.00
loop_
_atom_site_label
_atom_site_type_symbol
_atom_site_fract_x
_atom_site_fract_y
_atom_site_fract_z
_atom_site_occupancy
La1 La 0.000 0.166 0.000 1
Pr1 Pr 0.000 0.000 0.500 1
Pr2 Pr 0.000 0.331 0.500 1
Sm1 Sm 0.000 0.500 0.000 1
Se1 Se 0.244 0.500 0.750 1
Se2 Se 0.246 0.336 0.247 1


(13)
# DyGa2Ni | Alexandria via LeMat-Bulk | GGA-PBE | optimized geometry
# - E_form: -0.418 eV per atom
# - Density: 8.73 g cm⁻³
# - V: 17.1 Å³ per atom
# - DOS(E_F): 2.42 states/eV/cell
data_DyGa2Ni
_symmetry_space_group_name_H-M 'P 4/m m m'
_symmetry_Int_Tables_number 123
_symmetry_space_group_name_Hall '-P 4 2'
_cell_length_a 3.160
_cell_length_b 3.160
_cell_length_c 6.865
_cell_angle_alpha 90.00
_cell_angle_beta 90.00
_cell_angle_gamma 90.00
loop_
_atom_site_label
_atom_site_type_symbol
_atom_site_fract_x
_atom_site_fract_y
_atom_site_fract_z
_atom_site_occupancy
Dy1 Dy 0.000 0.000 0.000 1
Ga1 Ga 0.500 0.500 0.307 1
Ni1 Ni 0.000 0.000 0.500 1